## SrAc4Se5 (PBE-GGA)

Data for an optimized crystal structure of SrAc4Se5.

Structure (POSCAR):
```
SrAc4Se5
1.0
-4.1194 4.2893 2.1177
-6.4838 -3.0088 2.9261
0.9450 1.9018 7.4391
Se Sr Ac
5 1 4
direct
0.9014 0.3947 0.8038 Se
0.2967 0.8037 0.6051 Se
0.5015 0.0000 0.0000 Se
0.7050 0.1963 0.3949 Se
0.1004 0.6052 0.1962 Se
0.0015 0.0000 0.0000 Sr
0.6006 0.5993 0.2018 Ac
0.4013 0.4007 0.7982 Ac
0.1991 0.2024 0.4007 Ac
0.8028 0.7976 0.5993 Ac
```

The value obtained for the calculated total energy is -5.446 eV/atom. The value obtained for the total moment is 0.00 μB per formula unit. The density of states at the Fermi level comes out at 0.499 states/eV/atom.

## SrSmEu (PBE-GGA)

Data for an optimized crystal structure of SrSmEu.

Structure (POSCAR):
```
SrSmEu
1.0
3.8844 0.0000 0.0000
-1.9422 3.3640 0.0000
0.0000 0.0000 9.5879
Sr Sm Eu
1 1 1
direct
0.0000 0.0000 0.0073 Sr
0.6667 0.3333 0.3424 Sm
0.3333 0.6667 0.6503 Eu
```

As for the formation energy: 0.12 eV per atom. The value obtained for the calculated total energy is -5.443 eV/atom. The value obtained for the total moment is 7.61 μB per formula unit. The density of states at the Fermi level comes out at 1.291 states/eV/atom. For the relative energy among the computed polymorphs, the calculation gives 3 meV per atom.

## CaOsF2 (PBE-GGA)

Data for an optimized crystal structure of CaOsF2.

Structure (POSCAR):
```
CaOsF2
1.0
-4.0058 -1.9703 2.7374
-0.7277 -3.6452 -3.6885
0.7994 -5.8861 1.9420
Ca F Os
2 4 2
direct
0.2500 0.7500 0.5000 Ca
0.5000 0.5000 0.0000 Ca
0.1523 0.6250 0.2500 F
0.8750 0.8477 0.7500 F
0.3750 0.4023 0.7500 F
0.5977 0.1250 0.2500 F
0.7500 0.2500 0.5000 Os
0.0000 0.0000 0.0000 Os
```

The value obtained for the calculated total energy is -4.990 eV/atom. The value obtained for the total moment is 0.00 μB per formula unit. The density of states at the Fermi level comes out at 0.000 states/eV/atom. For the relative energy among the computed polymorphs, the calculation gives 717 meV per atom.

## ZrBrCl4 (PBE-GGA)

Data for an optimized crystal structure of ZrBrCl4.

Structure (POSCAR):
```
ZrBrCl4
1.0
5.6191 -0.5235 -0.3234
3.0862 -0.3113 4.7256
2.4724 -4.8736 1.4451
Cl Br Zr
4 1 1
direct
0.3756 0.3756 0.3756 Cl
0.8733 0.3756 0.3756 Cl
0.3756 0.8733 0.3756 Cl
0.3756 0.3756 0.8733 Cl
0.0000 0.0000 0.0000 Br
0.7500 0.7500 0.7500 Zr
```

The value obtained for the calculated total energy is -2.791 eV/atom. The value obtained for the total moment is 0.61 μB per formula unit. The density of states at the Fermi level comes out at 0.977 states/eV/atom.

## TlIn4Pb5 (PBE-GGA)

Data for an optimized crystal structure of TlIn4Pb5.

Structure (POSCAR):
```
TlIn4Pb5
1.0
-0.3048 -2.8939 -1.8329
3.1624 -0.9450 0.9661
-9.6968 -11.7829 20.2161
Pb In Tl
5 4 1
direct
0.5000 0.5000 0.3027 Pb
0.5000 0.5000 0.1039 Pb
0.5000 0.5000 0.6973 Pb
0.5000 0.5000 0.8961 Pb
0.5000 0.5000 0.5000 Pb
0.0000 0.0000 0.4012 In
0.0000 0.0000 0.5988 In
0.0000 0.0000 0.2031 In
0.0000 0.0000 0.7969 In
0.0000 0.0000 0.0000 Tl
```

As for the formation energy: 0.01 eV per atom. The value obtained for the calculated total energy is -3.174 eV/atom. The value obtained for the total moment is 0.00 μB per formula unit. The density of states at the Fermi level comes out at 0.497 states/eV/atom. For the relative energy among the computed polymorphs, the calculation gives 0 meV per atom.

## AlNiMo2 (PBE-GGA)

Data for an optimized crystal structure of AlNiMo2.

Structure (POSCAR):
```
AlNiMo2
1.0
6.9220 0.0000 0.0000
0.0000 6.9220 0.0000
3.4610 3.4610 2.5664
Mo Ni Al
4 2 2
direct
0.3750 0.3543 0.7500 Mo
0.8750 0.8957 0.7500 Mo
0.1043 0.6250 0.2500 Mo
0.6457 0.1250 0.2500 Mo
0.0000 0.0000 0.0000 Ni
0.7500 0.2500 0.5000 Ni
0.2500 0.7500 0.5000 Al
0.5000 0.5000 0.0000 Al
```

As for the formation energy: 0.41 eV per atom. The value obtained for the calculated total energy is -7.391 eV/atom. The value obtained for the total moment is 0.00 μB per formula unit. The density of states at the Fermi level comes out at 1.070 states/eV/atom.

## Ce2GeO6 (PBE-GGA)

Data for an optimized crystal structure of Ce2GeO6.

Structure (POSCAR):
```
Ce2GeO6
1.0
-4.7878 1.1729 -0.2612
-1.1793 -4.7923 0.0970
-0.4757 0.3229 10.1687
O Ge Ce
12 2 4
direct
0.2830 0.2830 0.0000 O
0.2170 0.7830 0.5000 O
0.6815 0.6815 0.6444 O
0.6815 0.6815 0.3556 O
0.3185 0.3185 0.3556 O
0.8185 0.1815 0.1444 O
0.3185 0.3185 0.6444 O
0.8185 0.1815 0.8556 O
0.7170 0.7170 0.0000 O
0.1815 0.8185 0.1444 O
0.1815 0.8185 0.8556 O
0.7830 0.2170 0.5000 O
0.5000 0.5000 0.5000 Ge
0.0000 0.0000 0.0000 Ge
0.5000 0.5000 0.1663 Ce
0.0000 0.0000 0.6663 Ce
0.0000 0.0000 0.3337 Ce
0.5000 0.5000 0.8337 Ce
```

The value obtained for the calculated total energy is -7.795 eV/atom. The value obtained for the total moment is 0.00 μB per formula unit.

## Ac2As3Pd4Pb (PBE-GGA)

Data for an optimized crystal structure of Ac2As3Pd4Pb.

Structure (POSCAR):
```
Ac2As3Pd4Pb
1.0
-3.5422 -0.9147 2.5820
0.4140 -4.3511 -0.9734
6.6371 -1.3021 8.6440
As Pd Ac Pb
3 4 2 1
direct
0.0000 0.0000 0.5000 As
0.5000 0.0000 0.8755 As
0.0000 0.5000 0.1245 As
0.0000 0.0000 0.0000 Pd
0.5000 0.0000 0.6489 Pd
0.0000 0.5000 0.3511 Pd
0.5000 0.5000 0.0000 Pd
0.5000 0.0000 0.2314 Ac
0.0000 0.5000 0.7686 Ac
0.5000 0.5000 0.5000 Pb
```

As for the formation energy: -0.83 eV per atom. The value obtained for the calculated total energy is -5.493 eV/atom. The value obtained for the total moment is 0.00 μB per formula unit. The density of states at the Fermi level comes out at 0.546 states/eV/atom.